[1]
10
Lattice="6.387 0.000 0.000 -3.194 5.531 0.000 0.000 0.000 5.563" Properties=species:S:1:pos:R:3 comment="PBE Rb2HoSO6, relaxed" dos_at_fermi_per_ev_atom=0.17 space_group="No. 164" dft_energy_ev_per_atom=-5.6593 pbc="T T T"
Rb 0.000 3.688 2.114
Rb 3.194 1.844 3.449
Ho 0.000 0.000 0.000
S 0.000 0.000 2.781
O 0.000 1.378 3.774
O -2.000 4.842 3.774
O 1.193 0.689 1.789
O 2.000 4.842 3.774
O 5.194 0.689 1.789
O 3.194 4.154 1.789



[2]
11
Lattice="2.969 -5.125 0.000 2.969 5.125 0.000 -1.895 0.000 6.701" Properties=species:S:1:pos:R:3 comment="PBE Rb2Ho2SbO6, relaxed" dos_at_fermi_per_ev_atom=0.46 space_group="No. 12" dft_energy_ev_per_atom=-6.4173 pbc="T T T"
Rb 2.969 3.429 0.000
Rb 2.969 -3.429 0.000
Ho 2.021 1.697 3.350
Ho 2.021 -1.697 3.350
Sb -0.947 0.000 3.350
O -0.004 1.670 4.455
O 0.924 0.000 2.243
O -0.004 -1.670 4.455
O 4.047 1.670 2.245
O 3.118 0.000 4.457
O 4.047 -1.670 2.245



[3]
12
Lattice="6.196 0.000 0.000 -3.098 5.366 0.000 0.000 0.000 7.551" Properties=species:S:1:pos:R:3 comment="PBE Rb3HoSb2O6, relaxed" dos_at_fermi_per_ev_atom=0.00 space_group="No. 164" dft_energy_ev_per_atom=-5.7689 pbc="T T T"
Rb 0.000 0.000 0.000
Rb 0.000 3.578 4.979
Rb 3.098 1.789 2.573
Ho 0.000 0.000 3.776
Sb 0.000 3.578 1.516
Sb 3.098 1.789 6.036
O 0.000 1.840 2.430
O -1.505 4.446 2.430
O 1.593 0.920 5.121
O 1.505 4.446 2.430
O 4.603 0.920 5.121
O 3.098 3.526 5.121



[4]
15
Lattice="3.442 1.988 6.643 -3.442 1.988 6.643 0.000 -3.975 6.643" Properties=species:S:1:pos:R:3 comment="PBE Rb3Ho3SbO8, relaxed" dos_at_fermi_per_ev_atom=0.13 space_group="No. 166" dft_energy_ev_per_atom=-6.4833 pbc="T T T"
Rb -1.721 -0.994 6.643
Rb -1.721 0.994 13.285
Rb 0.000 1.988 6.643
Ho -3.442 0.000 9.964
Ho -1.721 0.994 3.321
Ho 1.721 0.994 3.321
Sb 0.000 0.000 9.964
O 0.000 0.000 4.438
O -1.632 -0.942 11.068
O 0.000 -1.885 8.860
O -1.632 0.942 8.860
O 1.632 -0.942 11.068
O 0.000 1.885 11.068
O 1.632 0.942 8.860
O 0.000 0.000 15.489



[5]
15
Lattice="5.952 0.000 0.000 -2.976 5.155 0.000 0.000 0.000 7.328" Properties=species:S:1:pos:R:3 comment="PBE Rb3HoSb2O9, relaxed" dos_at_fermi_per_ev_atom=0.65 space_group="No. 164" dft_energy_ev_per_atom=-5.6894 pbc="T T T"
Rb 0.000 0.000 0.000
Rb 0.000 3.436 4.864
Rb 2.976 1.718 2.463
Ho 0.000 0.000 3.664
Sb 0.000 3.436 1.181
Sb 2.976 1.718 6.147
O -1.488 2.577 0.000
O 0.000 1.811 2.316
O -1.408 4.249 2.316
O 1.568 0.905 5.011
O 2.976 0.000 0.000
O 1.488 2.577 0.000
O 1.408 4.249 2.316
O 4.384 0.905 5.011
O 2.976 3.344 5.011



[6]
14
Lattice="6.220 0.000 0.000 -3.110 5.387 0.000 0.000 0.000 8.093" Properties=species:S:1:pos:R:3 comment="PBE Rb3HoSb2O8, relaxed" dos_at_fermi_per_ev_atom=0.00 space_group="No. 164" dft_energy_ev_per_atom=-5.8403 pbc="T T T"
Rb 0.000 0.000 0.000
Rb 0.000 3.591 5.539
Rb 3.110 1.796 2.554
Ho 0.000 0.000 4.046
Sb 0.000 3.591 1.968
Sb 3.110 1.796 6.125
O 0.000 1.822 2.713
O -1.532 4.476 2.713
O 0.000 3.591 0.102
O 1.578 0.911 5.380
O 1.532 4.476 2.713
O 3.110 1.796 7.991
O 4.642 0.911 5.380
O 3.110 3.565 5.380



[7]
12
Lattice="2.965 -5.135 0.000 2.965 5.135 0.000 -1.975 0.000 6.523" Properties=species:S:1:pos:R:3 comment="PBE Rb3Ho2ScO6, relaxed" dos_at_fermi_per_ev_atom=0.00 space_group="No. 12" dft_energy_ev_per_atom=-6.6945 pbc="T T T"
Rb 0.000 0.000 0.000
Rb 2.965 1.699 0.000
Rb 2.965 -1.699 0.000
Ho 1.977 3.423 3.262
Ho 1.977 -3.423 3.262
Sc 1.977 0.000 3.262
O 1.026 1.647 2.139
O 0.074 0.000 4.386
O 1.026 -1.647 2.139
O 2.929 1.647 4.384
O 3.880 0.000 2.138
O 2.929 -1.647 4.384



[8]
10
Lattice="6.484 0.000 0.000 -3.242 5.615 0.000 0.000 0.000 5.692" Properties=species:S:1:pos:R:3 comment="PBE Rb2HoSeO6, relaxed" dos_at_fermi_per_ev_atom=0.17 space_group="No. 164" dft_energy_ev_per_atom=-5.5115 pbc="T T T"
Rb 0.000 3.743 2.172
Rb 3.242 1.872 3.520
Ho 0.000 0.000 0.000
Se 0.000 0.000 2.846
O 0.000 1.472 3.948
O -1.967 4.879 3.948
O 1.275 0.736 1.744
O 1.967 4.879 3.948
O 5.209 0.736 1.744
O 3.242 4.144 1.744



[9]
12
Lattice="5.505 0.000 0.000 -2.752 4.767 0.000 0.000 0.000 8.699" Properties=species:S:1:pos:R:3 comment="PBE RbHoSe2O8, relaxed" dos_at_fermi_per_ev_atom=0.00 space_group="No. 147" dft_energy_ev_per_atom=-5.9067 pbc="T T T"
Rb 0.000 0.000 0.000
Ho 0.000 0.000 4.349
Se 0.000 3.178 6.317
Se 2.752 1.589 2.382
O -0.501 1.686 5.734
O -1.042 4.358 5.734
O 0.000 3.178 7.960
O 1.210 1.277 2.965
O 1.542 3.490 5.734
O 2.752 1.589 0.739
O 3.794 0.409 2.965
O 3.253 3.081 2.965



[10]
11
Lattice="4.837 -3.129 0.000 4.837 3.129 0.000 -2.705 0.000 6.855" Properties=species:S:1:pos:R:3 comment="PBE Rb2HoSe2O6, relaxed" dos_at_fermi_per_ev_atom=0.24 space_group="No. 12" dft_energy_ev_per_atom=-5.5021 pbc="T T T"
Rb 1.575 0.000 1.022
Rb 5.395 0.000 5.833
Ho -1.352 0.000 3.427
Se 2.028 0.000 5.195
Se 4.941 0.000 1.660
O 4.003 1.573 1.840
O 0.883 0.000 3.890
O 2.966 1.573 5.015
O 4.003 -1.573 1.840
O 6.086 0.000 2.965
O 2.966 -1.573 5.015



[11]
10
Lattice="2.869 1.657 6.434 -2.869 1.657 6.434 0.000 -3.313 6.434" Properties=species:S:1:pos:R:3 comment="PBE RbHoSe2O6, relaxed" dos_at_fermi_per_ev_atom=0.00 space_group="No. 148" dft_energy_ev_per_atom=-5.9683 pbc="T T T"
Rb 0.000 0.000 0.000
Ho 0.000 0.000 9.651
Se 0.000 0.000 5.204
Se 0.000 0.000 14.099
O -1.332 -1.277 8.343
O -1.772 0.515 10.960
O 0.440 -1.792 10.960
O -0.440 1.792 8.343
O 1.772 -0.515 8.343
O 1.332 1.277 10.960



[12]
14
Lattice="5.584 0.000 0.000 0.000 5.719 0.000 -2.278 0.000 7.301" Properties=species:S:1:pos:R:3 comment="PBE RbHoSiO4, relaxed" dos_at_fermi_per_ev_atom=0.00 space_group="No. 11" dft_energy_ev_per_atom=-7.2950 pbc="T T T"
Rb 0.098 1.430 3.142
Rb 3.209 4.289 4.159
Ho -0.586 1.430 7.009
Ho 3.892 4.289 0.292
Si 1.062 4.289 1.134
Si 2.244 1.430 6.167
O -1.813 4.289 6.898
O -0.252 4.289 2.105
O 2.117 3.009 1.274
O 2.117 5.569 1.274
O 1.189 0.150 6.027
O 1.189 2.709 6.027
O 3.558 1.430 5.196
O 5.119 1.430 0.403



[13]
20
Lattice="5.186 -4.964 0.000 5.186 4.964 0.000 -1.154 0.000 5.397" Properties=species:S:1:pos:R:3 comment="PBE RbHoSi2O6, relaxed" dos_at_fermi_per_ev_atom=0.00 space_group="No. 15" dft_energy_ev_per_atom=-7.4977 pbc="T T T"
Rb 4.321 3.174 4.048
Rb 4.898 -3.174 1.349
Ho 4.898 1.147 1.349
Ho 4.321 -1.147 4.048
Si 1.370 0.809 4.308
Si 1.947 -0.809 1.609
Si 7.271 0.809 3.788
Si 7.848 -0.809 1.089
O 3.328 2.709 1.364
O 1.711 0.082 0.193
O 1.134 -0.082 2.892
O 2.969 0.670 4.667
O 6.467 2.709 1.335
O 3.546 -0.670 1.968
O 5.673 0.670 3.429
O 2.751 -2.709 4.062
O 6.249 -0.670 0.730
O 8.084 0.082 2.506
O 7.507 -0.082 5.204
O 5.890 -2.709 4.033



[14]
12
Lattice="3.060 -5.300 0.000 3.060 5.300 0.000 -2.039 0.000 6.569" Properties=species:S:1:pos:R:3 comment="PBE Rb3SmHo2O6, relaxed" dos_at_fermi_per_ev_atom=0.00 space_group="No. 12" dft_energy_ev_per_atom=-6.5507 pbc="T T T"
Rb 0.000 0.000 0.000
Rb 3.060 1.772 0.000
Rb 3.060 -1.772 0.000
Sm 2.040 0.000 3.285
Ho 2.040 3.533 3.285
Ho 2.040 -3.533 3.285
O 0.996 1.808 2.129
O -0.048 0.000 4.440
O 0.996 -1.808 2.129
O 3.084 1.808 4.440
O 4.128 0.000 2.130
O 3.084 -1.808 4.440



[15]
8
Lattice="6.155 0.000 0.000 0.000 3.553 0.000 -2.049 0.000 6.576" Properties=species:S:1:pos:R:3 comment="PBE Rb2SmHoO4, relaxed" dos_at_fermi_per_ev_atom=0.00 space_group="No. 10" dft_energy_ev_per_atom=-6.5369 pbc="T T T"
Rb 0.000 0.000 0.000
Rb 3.077 1.777 0.000
Sm -1.024 1.777 3.288
Ho 2.053 0.000 3.288
O 0.046 0.000 4.454
O 1.067 1.777 2.131
O 3.039 1.777 4.445
O 4.060 0.000 2.122



[16]
11
Lattice="2.942 -5.067 0.000 2.942 5.067 0.000 -1.898 0.000 6.689" Properties=species:S:1:pos:R:3 comment="PBE Rb2Ho2SnO6, relaxed" dos_at_fermi_per_ev_atom=0.00 space_group="No. 12" dft_energy_ev_per_atom=-6.5275 pbc="T T T"
Rb 2.942 3.384 0.000
Rb 2.942 -3.384 0.000
Ho 1.992 1.677 3.345
Ho 1.992 -1.677 3.345
Sn -0.949 0.000 3.345
O -0.031 1.620 4.446
O 0.867 0.000 2.244
O -0.031 -1.620 4.446
O 4.016 1.620 2.244
O 3.118 0.000 4.445
O 4.016 -1.620 2.244



[17]
14
Lattice="6.260 0.000 0.000 -3.130 5.422 0.000 0.000 0.000 8.061" Properties=species:S:1:pos:R:3 comment="PBE Rb3HoTa2O8, relaxed" dos_at_fermi_per_ev_atom=0.00 space_group="No. 164" dft_energy_ev_per_atom=-7.7474 pbc="T T T"
Rb 0.000 0.000 0.000
Rb 0.000 3.614 5.611
Rb 3.130 1.807 2.450
Ho 0.000 0.000 4.030
Ta 0.000 3.614 2.044
Ta 3.130 1.807 6.017
O 0.000 1.840 2.693
O -1.537 4.502 2.693
O 0.000 3.614 0.225
O 1.593 0.920 5.368
O 1.537 4.502 2.693
O 3.130 1.807 7.836
O 4.667 0.920 5.368
O 3.130 3.582 5.368



[18]
12
Lattice="3.036 -5.259 0.000 3.036 5.259 0.000 -2.024 0.000 6.560" Properties=species:S:1:pos:R:3 comment="PBE Rb3TbHo2O6, relaxed" dos_at_fermi_per_ev_atom=0.00 space_group="No. 12" dft_energy_ev_per_atom=-6.5708 pbc="T T T"
Rb 0.000 0.000 0.000
Rb 3.036 1.755 0.000
Rb 3.036 -1.755 0.000
Tb 2.024 0.000 3.280
Ho 2.024 3.506 3.280
Ho 2.024 -3.506 3.280
O 1.004 1.767 2.132
O -0.016 0.000 4.428
O 1.004 -1.767 2.132
O 3.044 1.767 4.428
O 4.065 0.000 2.132
O 3.044 -1.767 4.428



[19]
20
Lattice="5.784 3.339 3.080 -5.784 3.339 3.080 0.000 -6.678 3.080" Properties=species:S:1:pos:R:3 comment="PBE RbHo3Te4O12, relaxed" dos_at_fermi_per_ev_atom=0.17 space_group="No. 155" dft_energy_ev_per_atom=-6.1376 pbc="T T T"
Rb 0.000 0.000 0.000
Ho -3.324 -0.922 3.080
Ho 2.460 -2.417 3.080
Ho 0.864 3.339 3.080
Te -2.355 -4.079 4.620
Te 0.000 0.000 4.620
Te -2.355 4.079 4.620
Te 4.710 0.000 4.620
O -1.326 -1.500 2.315
O -4.919 0.000 4.620
O -0.636 1.898 2.315
O -2.050 0.000 4.620
O 1.962 -0.398 2.315
O 2.459 -4.260 4.620
O 1.025 -1.775 4.620
O -0.636 -1.898 6.924
O 1.025 1.775 4.620
O -1.326 1.500 6.924
O 2.459 4.260 4.620
O 1.962 0.398 6.924



[20]
12
Lattice="5.898 0.000 0.000 -2.949 5.108 0.000 0.000 0.000 8.334" Properties=species:S:1:pos:R:3 comment="PBE RbHoTe2O8, relaxed" dos_at_fermi_per_ev_atom=0.00 space_group="No. 147" dft_energy_ev_per_atom=-5.8773 pbc="T T T"
Rb 0.000 0.000 0.000
Ho 0.000 0.000 4.167
Te 0.000 3.405 6.184
Te 2.949 1.703 2.150
O -0.383 1.716 5.548
O -1.272 4.582 5.548
O 0.000 3.405 8.002
O 1.294 1.190 2.787
O 1.655 3.918 5.548
O 2.949 1.703 0.333
O 4.221 0.526 2.787
O 3.332 3.392 2.787